DFT (PBE) results for BaMg2AgAu4 after structural relaxation.

Calculated values
The value obtained for the density of states at the Fermi level is 0.2377 states/eV/atom. The calculation puts the volume at 23.15 Å³ per atom. As for the energy of formation from the pure elements: -3.88 eV/f.u.

a b c (Å): 4.6789 4.6789 29.3017
angles (deg): 90.00 90.00 120.00
Last column: nearest neighbours and their distance in Å.
Space group R-3m (No. 166, hexagonal axes)
Symmetry-distinct sites (fractional):
Ba1 0.0000 0.0000 0.0000 [3 per cell]  8 Au 3.42-3.64
Mg1 0.0000 0.0000 0.2258 [6 per cell]  7 Au 2.75-2.98
Ag1 0.0000 0.0000 0.5000 [3 per cell]  8 Au 2.79-2.97
Au1 0.0000 0.0000 0.1243 [6 per cell]  4 Mg 2.75-2.98, 3 Ag 2.97
Au2 0.0000 0.0000 0.4049 [6 per cell]  1 Ag 2.79, 3 Mg 2.90, 3 Au 3.11

DFT (PBE) results for Ba2MgAgAu after structural relaxation.

Calculated values
The value obtained for the density of states at the Fermi level is 0.6479 states/eV/atom. The energy above the lowest structure with this stoichiometry comes out at 0.000 eV per atom. The calculation puts the volume at 35.57 Å³ per atom. As for the energy of formation from the pure elements: -2.05 eV/f.u.

a b c (Å): 4.7218 4.7218 15.9523
angles (deg): 90.00 90.00 90.00
Last column: nearest neighbours and their distance in Å.
Space group P4/nmm (No. 129, origin choice 2)
Symmetry-distinct sites (fractional):
Ba1 0.2500 0.2500 0.1018 [2 per cell]  5 Au 3.32-3.34
Ba2 0.2500 0.2500 0.6878 [2 per cell]  1 Au 3.29, 4 Ag 3.60
Mg1 0.2500 0.7500 0.5000 [2 per cell]  4 Ag 2.87
Ag1 0.2500 0.2500 0.3974 [2 per cell]  4 Mg 2.87
Au1 0.2500 0.2500 0.8938 [2 per cell]  6 Ba 3.29-3.34

DFT (PBE) results for BaMgAg2Au4 after structural relaxation.

Calculated values
The value obtained for the density of states at the Fermi level is 0.3627 states/eV/atom. The calculation puts the volume at 22.70 Å³ per atom. As for the energy of formation from the pure elements: -2.83 eV/f.u.

a b c (Å): 4.7219 4.7219 28.2201
angles (deg): 90.00 90.00 120.00
Last column: nearest neighbours and their distance in Å.
Space group R-3m (No. 166, hexagonal axes)
Symmetry-distinct sites (fractional):
Ba1 0.0000 0.0000 0.0000 [3 per cell]  8 Au 3.39-3.65
Mg1 0.0000 0.0000 0.5000 [3 per cell]  8 Au 2.70-2.92
Ag1 0.0000 0.0000 0.2352 [6 per cell]  7 Au 2.83-2.99
Au1 0.0000 0.0000 0.1294 [6 per cell]  4 Ag 2.87-2.99, 3 Mg 2.92, 3 Au 3.18
Au2 0.0000 0.0000 0.4045 [6 per cell]  1 Mg 2.70, 3 Ag 2.83

DFT (PBE) results for Ba6Ag2AuN after structural relaxation.

Calculated values
The value obtained for the density of states at the Fermi level is 0.7013 states/eV/atom. The uncorrected formation energy comes out at -0.341 eV per atom. The calculation puts the volume at 39.22 Å³ per atom.

a b c (Å): 7.8568 8.6500 13.8501
angles (deg): 90.00 123.56 90.00
Last column: nearest neighbours and their distance in Å.
Space group P2_1/c (No. 14)
Symmetry-distinct sites (fractional):
Ba1 0.1107 0.0300 0.2283 [4 per cell]  1 N 2.79
Ba2 0.2169 0.7095 0.0573 [4 per cell]  1 N 2.89
Ba3 0.3506 0.1672 0.0553 [4 per cell]  1 N 2.82
Ag1 0.2952 0.0978 0.7518 [4 per cell]  6 Ba 3.45-3.64
Au1 0.5000 0.0000 0.5000 [2 per cell]  6 Ba 3.29-3.35
N1 0.0000 0.0000 0.0000 [2 per cell]  6 Ba 2.79-2.89

DFT (PBE) results for Ba2AgAuN after structural relaxation.

Calculated values
The value obtained for the density of states at the Fermi level is 0.5444 states/eV/atom. The uncorrected formation energy comes out at -0.326 eV per atom. The calculation puts the volume at 27.53 Å³ per atom.

a b c (Å): 5.7055 5.7055 4.2284
angles (deg): 90.00 90.00 90.00
Last column: nearest neighbours and their distance in Å.
Space group P4/mmm (No. 123)
Symmetry-distinct sites (fractional):
Ba1 0.0000 0.5000 0.0000 [2 per cell]  2 N 2.85
Ag1 0.0000 0.0000 0.5000 [1 per cell]  2 N 2.11
Au1 0.5000 0.5000 0.5000 [1 per cell]  8 Ba 3.55
N1 0.0000 0.0000 0.0000 [1 per cell]  2 Ag 2.11

DFT (PBE) results for Ba8AgAu2N after structural relaxation.

Calculated values
The value obtained for the density of states at the Fermi level is 0.8099 states/eV/atom. The uncorrected formation energy comes out at -0.353 eV per atom. The calculation puts the volume at 45.70 Å³ per atom.

a b c (Å): 7.5287 9.4974 7.6711
angles (deg): 90.00 91.36 90.00
Last column: nearest neighbours and their distance in Å.
Space group P2/m (No. 10)
Symmetry-distinct sites (fractional):
Ba1 0.2009 0.2127 0.1742 [4 per cell]  1 N 2.84
Ba2 0.2544 0.0000 0.7204 [2 per cell]  1 N 2.91
Ba3 0.2896 0.5000 0.6773 [2 per cell]  2 Au 3.30, 1 Ag 3.34
Ag1 0.0000 0.5000 0.0000 [1 per cell]  6 Ba 3.34-3.38
Au1 0.5000 0.2323 0.5000 [2 per cell]  6 Ba 3.30-3.36
N1 0.0000 0.0000 0.0000 [1 per cell]  6 Ba 2.84-2.91

DFT (PBE) results for Ba8Ag2AuN after structural relaxation.

Calculated values
The value obtained for the density of states at the Fermi level is 0.7882 states/eV/atom. The uncorrected formation energy comes out at -0.264 eV per atom. The calculation puts the volume at 46.10 Å³ per atom.

a b c (Å): 7.5820 9.3465 7.8077
angles (deg): 90.00 90.97 90.00
Last column: nearest neighbours and their distance in Å.
Space group P2/m (No. 10)
Symmetry-distinct sites (fractional):
Ba1 0.2092 0.2200 0.1627 [4 per cell]  1 N 2.88
Ba2 0.2297 0.0000 0.7220 [2 per cell]  1 N 2.81
Ba3 0.2730 0.5000 0.6732 [2 per cell]  1 Au 3.31, 2 Ag 3.41
Ag1 0.5000 0.2215 0.5000 [2 per cell]  6 Ba 3.41
Au1 0.0000 0.5000 0.0000 [1 per cell]  6 Ba 3.30-3.31
N1 0.0000 0.0000 0.0000 [1 per cell]  6 Ba 2.81-2.88

DFT (PBE) results for Ba6AgAu2N after structural relaxation.

Calculated values
The value obtained for the density of states at the Fermi level is 0.8411 states/eV/atom. The uncorrected formation energy comes out at -0.394 eV per atom. The calculation puts the volume at 41.08 Å³ per atom.

a b c (Å): 7.9961 7.9979 8.7317
angles (deg): 90.01 117.24 119.95
Last column: nearest neighbours and their distance in Å.
Space group P1 (No. 1)
Symmetry-distinct sites (fractional):
Ba1 0.0000 0.0000 0.0000 [1 per cell]  1 N 2.91
Ba2 0.0078 0.8616 0.4547 [1 per cell]  1 N 2.82
Ba3 0.3153 0.4433 0.4550 [1 per cell]  1 N 2.82
Ba4 0.4252 0.7228 0.0002 [1 per cell]  1 N 2.91
Ba5 0.7223 0.2973 0.9997 [1 per cell]  1 N 2.91
Ba6 0.7341 0.1696 0.4549 [1 per cell]  1 N 2.82
Ag1 0.8695 0.5835 0.7302 [1 per cell]  6 Ba 3.46-3.47, 1 Au 3.81
Au1 0.4958 0.8966 0.6699 [1 per cell]  6 Ba 3.32-3.36
Au2 0.5270 0.4122 0.2169 [1 per cell]  6 Ba 3.30-3.32
N1 0.8766 0.0869 0.2409 [1 per cell]  6 Ba 2.82-2.91

DFT (PBE) results for Ba2NaAgAu after structural relaxation.

Calculated values
The value obtained for the density of states at the Fermi level is 0.5489 states/eV/atom. The energy above the lowest structure with this stoichiometry comes out at 0.000 eV per atom. The calculation puts the volume at 43.09 Å³ per atom. As for the energy of formation from the pure elements: -1.00 eV/f.u.

a b c (Å): 6.3280 6.3280 5.3808
angles (deg): 90.00 90.00 90.00
Last column: nearest neighbours and their distance in Å.
Space group P4/mmm (No. 123)
Symmetry-distinct sites (fractional):
Ba1 0.0000 0.5000 0.0000 [2 per cell]  2 Au 3.16
Na1 0.0000 0.0000 0.5000 [1 per cell]  8 Ba 4.15, 4 Ag 4.47
Ag1 0.5000 0.5000 0.5000 [1 per cell]  2 Au 2.69
Au1 0.5000 0.5000 0.0000 [1 per cell]  2 Ag 2.69

DFT (PBE) results for Ba2NaAgAu after structural relaxation.

Calculated values
The value obtained for the density of states at the Fermi level is 0.7480 states/eV/atom. The energy above the lowest structure with this stoichiometry comes out at 0.159 eV per atom. The calculation puts the volume at 42.55 Å³ per atom. As for the energy of formation from the pure elements: -0.20 eV/f.u.

a b c (Å): 6.3276 6.3276 5.3131
angles (deg): 90.00 90.00 90.00
Last column: nearest neighbours and their distance in Å.
Space group P4/mmm (No. 123)
Symmetry-distinct sites (fractional):
Ba1 0.0000 0.5000 0.0000 [2 per cell]  2 Ag 3.16
Na1 0.0000 0.0000 0.5000 [1 per cell]  2 Ag 2.66
Ag1 0.0000 0.0000 0.0000 [1 per cell]  2 Na 2.66
Au1 0.5000 0.5000 0.5000 [1 per cell]  8 Ba 4.13, 4 Na 4.47

DFT (PBE) results for BaNaAg2Au2 after structural relaxation.

Calculated values
The value obtained for the density of states at the Fermi level is 0.3617 states/eV/atom. The calculation puts the volume at 25.55 Å³ per atom. As for the energy of formation from the pure elements: -2.03 eV/f.u.

a b c (Å): 4.8346 4.8346 7.5735
angles (deg): 90.00 90.00 120.00
Last column: nearest neighbours and their distance in Å.
Space group P-3m1 (No. 164)
Symmetry-distinct sites (fractional):
Ba1 0.0000 0.0000 0.0000 [1 per cell]  6 Au 3.52, 6 Ag 3.66, 2 Na 3.79
Na1 0.0000 0.0000 0.5000 [1 per cell]  6 Ag 3.13, 6 Au 3.23
Ag1 0.3333 0.6667 0.3136 [2 per cell]  4 Au 2.80-3.05, 3 Na 3.13
Au1 0.3333 0.6667 0.7159 [2 per cell]  4 Ag 2.80-3.05